No. 1
VASP calculation (PBE) on a geometry-optimized NdLuAlPb structure.

abc: 5.337 5.337 5.337
angles: 60.00 60.00 60.00
Atoms (fractional coordinates):
Lu 0.500 0.500 0.500
Nd 0.000 0.000 0.000
Al 0.250 0.250 0.250
Pb 0.750 0.750 0.750

Summary:
Its volume is 107.5 Å³ per cell. The value obtained for the electronic total energy is -17.91 eV/cell. The calculated formation energy comes out at -0.294 eV/atom. Its density is 8.55 Mg/m³.


No. 2
VASP calculation (PBE) on a geometry-optimized UPaMnSe6 structure.

abc: 6.356 6.715 6.715
angles: 120.00 90.00 90.00
Atoms (fractional coordinates):
Se 0.253 0.678 0.001
Se 0.747 0.323 0.001
Se 0.747 0.999 0.322
Se 0.747 0.678 0.677
Se 0.253 0.999 0.677
Se 0.253 0.323 0.322
U 0.500 0.667 0.333
Pa 0.000 0.333 0.667
Mn 0.500 0.000 0.000

Summary:
Its volume is 248.2 Å³ per cell. Its raw formation energy is -0.910 eV per atom. The value obtained for the electronic total energy is -59.06 eV/cell. Its density is 6.67 Mg/m³.


No. 3
VASP calculation (PBE) on a geometry-optimized KLiAgHg2 structure.

abc: 5.223 5.223 5.103
angles: 90.00 90.00 90.00
Atoms (fractional coordinates):
Li 0.000 0.000 0.000
Ag 0.000 0.000 0.500
K 0.500 0.500 0.500
Hg 0.000 0.500 0.000
Hg 0.500 0.000 0.000

Summary:
Its volume is 139.2 Å³ per cell. The value obtained for the electronic total energy is -6.87 eV/cell. The calculated formation energy comes out at -0.080 eV/atom. Its density is 6.62 Mg/m³.


No. 4
VASP calculation (PBE) on a geometry-optimized PmMgAs2Rh5 structure.

abc: 4.120 4.120 10.309
angles: 90.00 90.00 90.00
Atoms (fractional coordinates):
Rh 0.500 0.000 0.156
Rh 0.500 0.000 0.844
Rh 0.000 0.500 0.844
Rh 0.500 0.500 0.500
Rh 0.000 0.500 0.156
As 0.500 0.500 0.270
As 0.500 0.500 0.730
Pm 0.000 0.000 0.500
Mg 0.000 0.000 0.000

Summary:
Its volume is 175.0 Å³ per cell. The value obtained for the electronic total energy is -55.82 eV/cell. The calculated formation energy comes out at -0.379 eV/atom. Its density is 7.91 Mg/m³.


No. 5
VASP calculation (PBE) on a geometry-optimized Ti2Ni4Pd structure.

abc: 6.146 6.146 4.994
angles: 127.86 127.91 90.11
Atoms (fractional coordinates):
Ni 0.693 0.693 0.000
Ni 0.307 0.307 0.000
Ni 0.695 0.306 0.001
Ni 0.306 0.694 0.999
Ti 0.750 0.250 0.500
Ti 0.250 0.750 0.500
Pd 0.999 0.999 0.998

Summary:
Its volume is 93.3 Å³ per cell. The value obtained for the electronic total energy is -44.64 eV/cell. The calculated formation energy comes out at -0.076 eV/atom. Its density is 7.78 Mg/m³.


No. 6
VASP calculation (PBE) on a geometry-optimized TcBiN3 structure.

abc: 4.232 4.232 4.232
angles: 90.00 90.00 90.00
Atoms (fractional coordinates):
N 0.000 0.000 0.500
N 0.500 0.000 0.000
N 0.000 0.500 0.000
Tc 0.500 0.500 0.500
Bi 0.000 0.000 0.000

Summary:
Its volume is 75.8 Å³ per cell. Its raw formation energy is 2.418 eV per atom. The value obtained for the electronic total energy is -27.13 eV/cell. Its density is 7.65 Mg/m³.